Entry from Alexandria: LiZrBr4 after structural relaxation (PBE-GGA).

As for the offset from the most stable computed form: 0.000 eV/f.u.

It has space group P2/m (No. 10), with a = 6.944 Å, b = 3.665 Å, c = 7.137 Å, α = 90.00°, β = 90.90° and γ = 90.00°. The distinct sites, in fractional coordinates, are Li at (0.000, 0.000, 0.000), Zr at (0.500, 0.500, 0.000), Br at (0.184, 0.500, 0.208) and Br at (0.328, 0.000, 0.763).